Record 1
Entry from the Open Quantum Materials Database: a geometry-optimized PrGdCI structure (GGA-PBE).

## Properties
As for the spin magnetization: 0.001 μB/atom. The total energy is -46.165 eV for the cell shown. Its calculated density is 7.4 g/cm3.

Lattice parameters (Å, degrees): 3.853 3.853 15.341 90.00 90.00 120.00
Fractional positions:
Pr 0.667 0.333 0.667
C 0.000 0.000 0.762
I 0.333 0.667 0.500
C 0.000 0.000 0.238
Pr 0.667 0.333 0.333
I 0.667 0.333 0.000
Gd 0.333 0.667 0.841
Gd 0.333 0.667 0.159

---

Record 2
Entry from the Open Quantum Materials Database: a geometry-optimized Pr2Gd2CI5 structure (GGA-PBE).

## Properties
As for the spin magnetization: 0.033 μB/atom. The total energy is -47.041 eV for the cell shown. Its calculated density is 6.0 g/cm3.

Lattice parameters (Å, degrees): 9.906 9.906 8.916 102.34 102.34 23.75
Each line ends with the local moment (μB).
Fractional positions:
I 0.167 0.167 0.332  0.00
Gd 0.630 0.630 0.065  0.07
C 0.500 0.500 0.000  0.00
I 0.833 0.833 0.668  0.00
Pr 0.001 0.001 0.804  0.02
I 0.500 0.500 0.500  0.00
Pr 0.999 0.999 0.196  0.02
Gd 0.370 0.370 0.935  0.07
I 0.172 0.172 0.834  0.00
I 0.828 0.828 0.166  0.00

---

Record 3
Entry from the Open Quantum Materials Database: a geometry-optimized Pr3GdC2I2 structure (GGA-PBE).

## Properties
As for the spin magnetization: 0.000 μB/atom. The total energy is -46.139 eV for the cell shown. Its calculated density is 7.0 g/cm3.

Lattice parameters (Å, degrees): 3.883 3.883 15.533 90.00 90.00 120.00
Fractional positions:
C 0.667 0.333 0.502
Pr 0.000 0.000 0.591
Gd 0.000 0.000 0.913
Pr 0.333 0.667 0.084
I 0.000 0.000 0.248
Pr 0.333 0.667 0.413
C 0.667 0.333 0.991
I 0.333 0.667 0.758

---

Record 4
Entry from the Open Quantum Materials Database: a geometry-optimized Gd2C4SI structure (GGA-PBE).

## Properties
As for the spin magnetization: 0.000 μB/atom. The total energy is -46.246 eV for the cell shown. Its calculated density is 6.3 g/cm3.

Lattice parameters (Å, degrees): 4.477 4.477 7.946 90.00 90.00 120.00
Fractional positions:
C 0.333 0.667 0.918
C 0.667 0.333 0.582
C 0.333 0.667 0.082
I 0.667 0.333 0.000
C 0.667 0.333 0.418
S 0.333 0.667 0.500
Gd 0.000 0.000 0.285
Gd 0.000 0.000 0.715

---

Record 5
Entry from the Open Quantum Materials Database: a geometry-optimized Gd2Sc2CI5 structure (GGA-PBE).

## Properties
As for the spin magnetization: 0.036 μB/atom. The total energy is -49.877 eV for the cell shown. Its calculated density is 5.1 g/cm3.

Lattice parameters (Å, degrees): 10.640 10.640 8.559 101.33 101.33 21.09
Each line ends with the local moment (μB).
Fractional positions:
Sc 0.609 0.609 0.054  0.08
I 0.849 0.849 0.688  0.00
Gd 0.000 0.000 0.807  0.03
I 0.152 0.152 0.837  0.00
I 0.500 0.500 0.500  0.00
Gd 0.000 0.000 0.193  0.03
Sc 0.391 0.391 0.946  0.08
I 0.151 0.151 0.312  0.00
C 0.500 0.500 0.000  0.00
I 0.848 0.848 0.163  0.00

---

Record 6
Entry from the Open Quantum Materials Database: a geometry-optimized Gd2Sc2CI5 structure (GGA-PBE).

## Properties
As for the spin magnetization: 0.010 μB/atom. The total energy is -49.263 eV for the cell shown. Its calculated density is 5.7 g/cm3.

Lattice parameters (Å, degrees): 9.695 9.695 8.425 102.40 102.40 23.25
Fractional positions:
I 0.500 0.500 0.500
Gd 0.628 0.628 0.064
I 0.843 0.843 0.653
I 0.161 0.161 0.810
Sc 0.000 0.000 0.177
I 0.839 0.839 0.190
Gd 0.372 0.372 0.936
Sc 0.000 0.000 0.823
C 0.500 0.500 0.000
I 0.157 0.157 0.347

---

Record 7
Entry from the Open Quantum Materials Database: a geometry-optimized Gd4C2SeI structure (GGA-PBE).

## Properties
As for the spin magnetization: 0.000 μB/atom. The total energy is -49.628 eV for the cell shown. Its calculated density is 8.0 g/cm3.

Lattice parameters (Å, degrees): 3.807 3.807 14.220 90.00 90.00 120.00
Fractional positions:
Se 0.667 0.333 0.000
Gd 0.667 0.333 0.674
I 0.000 0.000 0.500
C 0.333 0.667 0.758
Gd 0.000 0.000 0.140
Gd 0.000 0.000 0.860
Gd 0.667 0.333 0.326
C 0.333 0.667 0.242

---

Record 8
Entry from the Open Quantum Materials Database: a geometry-optimized Gd2C4SeI structure (GGA-PBE).

## Properties
As for the spin magnetization: 0.001 μB/atom. The total energy is -45.547 eV for the cell shown. Its calculated density is 6.6 g/cm3.

Lattice parameters (Å, degrees): 4.562 4.562 7.947 90.00 90.00 120.00
Fractional positions:
I 0.000 0.000 0.000
Se 0.667 0.333 0.500
Gd 0.333 0.667 0.275
C 0.667 0.333 0.918
C 0.000 0.000 0.582
C 0.667 0.333 0.082
C 0.000 0.000 0.418
Gd 0.333 0.667 0.725